# LiAgRh2N GGA-PBE relaxed
data_LiAgRh2N
_cell_length_a 3.9717
_cell_length_b 3.9717
_cell_length_c 4.2824
_cell_angle_alpha 90.00
_cell_angle_beta 90.00
_cell_angle_gamma 90.00
_space_group_name_H-M_alt 'P 1'
_space_group_IT_number 1
_space_group_name_Hall 'P 1'
loop_
_atom_site_label
_atom_site_type_symbol
_atom_site_fract_x
_atom_site_fract_y
_atom_site_fract_z
Li1 Li 0.0000 0.0000 0.5000
Rh1 Rh 0.0000 0.5000 0.0000
Rh2 Rh 0.5000 0.0000 0.0000
Ag1 Ag 0.5000 0.5000 0.5000
N1 N 0.0000 0.0000 0.0000
# * SG: No. 123
# * electronic total energy: -5.651 eV per atom
# * V: 67.6 Å³ per cell